Entry from OQMD via LeMat-Bulk: ErSnAuSeS2 after structural relaxation (PBE).

Structure (CIF):
```
data_ErSnAuSeS2
_chemical_formula_sum 'Er4 Sn4 Au4 Se4 S8'
_space_group_name_H-M_alt 'C m c m'
_space_group_IT_number 63
_space_group_name_Hall '-C 2c 2'
_cell_length_a 4.080
_cell_length_b 14.391
_cell_length_c 10.466
_cell_angle_alpha 90.00
_cell_angle_beta 90.00
_cell_angle_gamma 90.00
loop_
_atom_site_label
_atom_site_type_symbol
_atom_site_fract_x
_atom_site_fract_y
_atom_site_fract_z
Er1 Er 0.000 0.000 0.000
Sn1 Sn 0.000 0.300 0.250
Au1 Au 0.000 0.354 0.750
Se1 Se 0.000 0.067 0.750
S1 S 0.000 0.373 0.526
```

Properties
Uncorrected energy, eV/cell: -117.404
Total moment, μB per formula unit: 0.0